(1)
The following is a DFT calculation (PBE) of crystalline Li3TiBe at its relaxed geometry.

a = 4.347 Å, b = 4.347 Å, c = 4.347 Å
α = 90.00°, β = 90.00°, γ = 90.00°
Each line ends with the local moment (μB).
Fractional positions:
1 Be 0.000 0.000 0.000  0.09
2 Li 0.500 0.000 0.000  0.00
3 Li 0.000 0.000 0.500  0.00
4 Ti 0.500 0.500 0.500  -1.43
5 Li 0.000 0.500 0.000  0.00

Calculated values
ΔH_f (0 K), meV/atom: 721.3
Excess energy over the best structure of this formula in the dataset, meV per atom: 0


(2)
The following is a DFT calculation (PBE) of crystalline NaBi2SbS6 at its relaxed geometry.

a = 7.019 Å, b = 7.019 Å, c = 7.332 Å
α = 61.40°, β = 61.40°, γ = 59.99°
Fractional positions:
1 Na 0.807 0.807 0.580
2 Sb 0.325 0.325 0.025
3 S 0.579 0.200 0.248
4 S 0.132 0.421 0.755
5 Bi 0.521 0.521 0.437
6 Bi 0.012 0.012 0.963
7 S 0.199 0.974 0.248
8 S 0.691 0.132 0.755
9 S 0.974 0.579 0.248
10 S 0.421 0.691 0.755

Calculated values
ΔE_f (raw), eV per atom: -0.35


Values of raw total energy, in order: -2.751; -4.149, all in eV per atom.